This record from Alexandria via LeMat-Bulk describes a relaxed Ce2DyEr8 crystal. The functional is PBE.

Geometry as extended XYZ:
```
11
Lattice="5.5938 1.5291 0.0000 2.4146 8.5396 0.0000 1.2073 4.2698 7.8200" Properties=species:S:1:pos:R:3 pbc="T T T"
Ce 2.4146 8.5396 4.7573
Er 5.3262 6.0100 0.0000
Er 4.0042 5.0343 4.5175
Er 4.0330 11.2403 6.0202
Er 5.2115 9.3041 3.3024
Er 2.6822 4.0587 0.0000
Dy 2.7969 0.7645 0.0000
Er 5.1826 3.0982 1.7997
Ce 1.2073 4.2698 3.0627
Er 6.3899 7.3680 6.0202
Er 2.8258 6.9705 1.7997
```

Summary:
energy of formation from the pure elements = 2.3 eV/f.u.
space-group type = C2/m
calculated density = 8.6 g/cm³
spin magnetization = 1.71 Bohr magnetons per cell
DOS(E_F) = 21.05 states/eV/cell